PBE-GGA KAg3Mo, optimized geometry; symmetry = Pm-3m, No. 221; E_form = 1.00 eV/atom; DFT total energy = -3.094 eV per atom; polymorph energy (0 for the lowest one) = 0 meV per atom
1.0
5.400 0.000 0.000
0.000 5.400 0.000
0.000 0.000 5.400
K Ag Mo
1 3 1
Direct
0.000 0.000 0.000
0.000 0.500 0.500
0.500 0.000 0.500
0.500 0.500 0.000
0.500 0.500 0.500

PBE-GGA KAgMo2, optimized geometry; symmetry = Cmmm, No. 65; E_form = 1.01 eV/atom; DFT total energy = -5.388 eV per atom; polymorph energy (0 for the lowest one) = 381 meV per atom
1.0
3.207 0.000 0.000
0.000 4.332 0.000
0.000 0.000 11.133
K Ag Mo
2 2 4
Direct
0.000 0.000 0.000
0.500 0.500 0.000
0.000 0.000 0.500
0.500 0.500 0.500
0.000 0.500 0.282
0.000 0.500 0.718
0.500 0.000 0.282
0.500 0.000 0.718

PBE-GGA KAgMo2, optimized geometry; symmetry = Pmmm, No. 47; E_form = 1.01 eV/atom; DFT total energy = -5.395 eV per atom; polymorph energy (0 for the lowest one) = 375 meV per atom
1.0
2.899 0.000 0.000
0.000 4.670 0.000
0.000 0.000 7.349
K Ag Mo
1 1 2
Direct
0.000 0.000 0.000
0.000 0.000 0.500
0.500 0.500 0.355
0.500 0.500 0.645

PBE-GGA KAgMo2, optimized geometry; symmetry = P4/mmm, No. 123; E_form = 1.13 eV/atom; DFT total energy = -5.272 eV per atom; polymorph energy (0 for the lowest one) = 497 meV per atom
1.0
3.706 0.000 0.000
0.000 3.706 0.000
0.000 0.000 7.649
K Ag Mo
1 1 2
Direct
0.000 0.000 0.000
0.000 0.000 0.500
0.500 0.500 0.362
0.500 0.500 0.638

PBE-GGA KAgMo2, optimized geometry; symmetry = Pmm2, No. 25; E_form = 0.81 eV/atom; DFT total energy = -5.591 eV per atom; polymorph energy (0 for the lowest one) = 179 meV per atom
1.0
2.685 0.000 0.000
0.000 4.020 0.000
0.000 0.000 8.349
K Ag Mo
1 1 2
Direct
0.000 0.000 0.000
0.500 0.500 0.693
0.000 0.000 0.494
0.500 0.500 0.336

PBE-GGA KAgMo2, optimized geometry; symmetry = Fm-3m, No. 225; E_form = 1.92 eV/atom; DFT total energy = -4.483 eV per atom; polymorph energy (0 for the lowest one) = 1286 meV per atom
1.0
6.688 0.000 0.000
0.000 6.688 0.000
0.000 0.000 6.688
K Ag Mo
4 4 8
Direct
0.000 0.000 0.000
0.000 0.500 0.500
0.500 0.000 0.500
0.500 0.500 0.000
0.000 0.000 0.500
0.000 0.500 0.000
0.500 0.000 0.000
0.500 0.500 0.500
0.250 0.250 0.250
0.250 0.250 0.750
0.250 0.750 0.250
0.250 0.750 0.750
0.750 0.250 0.250
0.750 0.250 0.750
0.750 0.750 0.250
0.750 0.750 0.750

PBE-GGA KAgMo2Rh, optimized geometry; symmetry = P4/mmm, No. 123; E_form = 1.29 eV/atom; DFT total energy = -5.301 eV per atom
1.0
4.841 0.000 0.000
0.000 4.841 0.000
0.000 0.000 5.395
K Ag Mo Rh
1 1 2 1
Direct
0.000 0.000 0.000
0.500 0.500 0.000
0.000 0.500 0.500
0.500 0.000 0.500
0.500 0.500 0.500

PBE-GGA KAgMoS4, optimized geometry; ΔE_f (raw) = -3.98 eV per formula unit; symmetry = Cmcm, No. 63; DFT total energy = -5.038 eV per atom
1.0
4.341 -6.111 0.000
4.341 6.111 0.000
0.000 0.000 7.841
K Ag Mo S
2 2 2 8
Direct
0.000 0.000 0.000
0.000 0.000 0.500
0.386 0.614 0.750
0.614 0.386 0.250
0.369 0.631 0.250
0.631 0.369 0.750
0.258 0.316 0.250
0.266 0.734 0.019
0.266 0.734 0.481
0.316 0.258 0.750
0.684 0.742 0.250
0.734 0.266 0.519
0.734 0.266 0.981
0.742 0.684 0.750